# 1
# CeAgPb

A PBEsol-optimized structure of CeAgPb (SCAN, Alexandria).

Cell: 4.841 4.841 7.337 Å, 90.00 90.00 120.00°
Atoms (fractional coordinates):
Ce1 0.000 0.000 0.000
Ce2 0.000 0.000 0.500
Ag1 0.333 0.667 0.197
Ag2 0.667 0.333 0.697
Pb1 0.333 0.667 0.776
Pb2 0.667 0.333 0.276

## Properties
Raw total energy ... -51.130 eV/atom
D(E_F) ... 0.270 states/eV/atom
Spin magnetization ... 1.1 μB per formula unit
Energy of formation ... -162 kJ/mol of formula units
Symmetry ... P6_3mc

# 2
# Ce3SiAgS7

A PBEsol-optimized structure of Ce3SiAgS7 (SCAN, Alexandria).

Cell: 10.119 10.119 5.673 Å, 90.00 90.00 120.00°
Atoms (fractional coordinates):
Ce1 0.125 0.359 0.000
Ce2 0.234 0.875 0.000
Ce3 0.359 0.234 0.500
Ce4 0.641 0.766 0.000
Ce5 0.766 0.125 0.500
Ce6 0.875 0.641 0.500
Si1 0.333 0.667 0.414
Si2 0.667 0.333 0.914
Ag1 0.000 0.000 0.062
Ag2 0.000 0.000 0.562
S1 0.093 0.270 0.513
S2 0.111 0.588 0.269
S3 0.177 0.907 0.513
S4 0.270 0.177 0.013
S5 0.333 0.667 0.786
S6 0.412 0.523 0.269
S7 0.477 0.889 0.269
S8 0.523 0.111 0.769
S9 0.588 0.477 0.769
S10 0.667 0.333 0.286
S11 0.730 0.823 0.513
S12 0.823 0.093 0.013
S13 0.889 0.412 0.769
S14 0.907 0.730 0.013

## Properties
Raw total energy ... -21.920 eV/atom
D(E_F) ... 0.136 states/eV/atom
Spin magnetization ... 3.0 μB per formula unit
Symmetry ... P6_3

# 3
# Ce2AgSn

A PBEsol-optimized structure of Ce2AgSn (SCAN, Alexandria).

Cell: 5.277 5.277 5.277 Å, 60.00 60.00 60.00°
Atoms (fractional coordinates):
Ce1 0.250 0.250 0.250
Ce2 0.750 0.750 0.750
Ag1 0.000 0.000 0.000
Sn1 0.500 0.500 0.500

## Properties
Raw total energy ... -39.550 eV/atom
D(E_F) ... 0.943 states/eV/atom
Spin magnetization ... 3.1 μB per formula unit
Energy of formation ... -172 kJ/mol of formula units
Symmetry ... Fm-3m